[1]
Computed, not measured: a geometry-optimized PmSmRh2 structure at the PBE-GGA level of DFT.

Calculated values
ΔH_f (0 K) = -0.72 eV/atom
Uncorrected energy = -27.06 eV/cell
Mass density = 9.23 g/cm3

abc: 3.927 4.187 5.822
angles: 90.00 109.69 90.00
Positions (direct):
Sm1 0.441 0.500 0.422
Pm1 0.725 0.000 0.988
Rh1 0.168 0.500 0.875
Rh2 0.997 0.000 0.533

[2]
Computed, not measured: a geometry-optimized Zr2TlAs structure at the PBE-GGA level of DFT.

Calculated values
ΔH_f (0 K) = -0.41 eV/atom
Uncorrected energy = -25.74 eV/cell
Mass density = 8.88 g/cm3

abc: 5.312 5.312 5.312
angles: 136.47 120.83 76.26
Positions (direct):
Tl1 0.250 0.750 0.500
Zr1 0.525 0.525 0.000
Zr2 0.975 0.975 0.000
As1 0.750 0.250 0.500

[3]
Computed, not measured: a geometry-optimized UTlSb structure at the PBE-GGA level of DFT.

Calculated values
Uncorrected energy = -35.32 eV/cell
Mass density = 11.00 g/cm3
Raw formation energy = 0.04 eV per atom

abc: 3.866 3.866 13.343
angles: 81.67 81.67 60.00
Positions (direct):
Sb1 0.238 0.238 0.286
Sb2 0.762 0.762 0.714
Tl1 0.631 0.631 0.108
Tl2 0.369 0.369 0.892
U1 0.150 0.150 0.550
U2 0.850 0.850 0.450

[4]
Computed, not measured: a geometry-optimized Pr4Dy7Th structure at the PBE-GGA level of DFT.

Calculated values
ΔH_f (0 K) = 0.28 eV/atom
Uncorrected energy = -55.35 eV/cell
Mass density = 7.73 g/cm3

abc: 5.999 11.740 6.800
angles: 83.86 63.83 75.20
Positions (direct):
Dy1 0.787 0.924 0.502
Dy2 0.213 0.076 0.498
Dy3 0.932 0.314 0.821
Dy4 0.631 0.505 0.233
Dy5 0.068 0.686 0.179
Dy6 0.500 0.000 0.000
Dy7 0.369 0.495 0.767
Pr1 0.226 0.333 0.216
Pr2 0.361 0.777 0.500
Pr3 0.774 0.667 0.784
Pr4 0.639 0.223 0.500
Th1 0.000 0.000 0.000

[5]
Computed, not measured: a geometry-optimized Pr4DyTm10 structure at the PBE-GGA level of DFT.

Calculated values
ΔH_f (0 K) = 0.28 eV/atom
Uncorrected energy = -64.26 eV/cell
Mass density = 8.02 g/cm3

abc: 7.949 8.870 8.870
angles: 78.42 63.38 63.38
Positions (direct):
Pr1 0.774 0.453 0.000
Pr2 0.226 0.547 0.000
Pr3 0.227 0.000 0.547
Pr4 0.773 0.000 0.453
Tm1 0.913 0.792 0.792
Tm2 0.087 0.208 0.208
Tm3 0.503 0.792 0.792
Tm4 0.705 0.792 0.208
Tm5 0.250 0.500 0.500
Tm6 0.497 0.208 0.208
Tm7 0.295 0.792 0.208
Tm8 0.705 0.208 0.792
Tm9 0.295 0.208 0.792
Tm10 0.750 0.500 0.500
Dy1 0.000 0.000 0.000

[6]
Computed, not measured: a geometry-optimized AgSnAs2Se structure at the PBE-GGA level of DFT.

Calculated values
Uncorrected energy = -16.48 eV/cell
Mass density = 5.78 g/cm3
Raw formation energy = 0.63 eV per atom

abc: 4.990 4.990 5.257
angles: 90.00 90.00 90.00
Each line ends with the local moment (μB).
Positions (direct):
Se1 0.000 0.000 0.500  0.05
As1 0.500 0.000 0.000  0.09
As2 0.000 0.500 0.000  0.09
Sn1 0.500 0.500 0.500  -0.01
Ag1 0.000 0.000 0.000  0.01

[7]
Computed, not measured: a geometry-optimized Li2ZnTc structure at the PBE-GGA level of DFT.

Calculated values
ΔH_f (0 K) = 0.58 eV/atom
Uncorrected energy = -26.29 eV/cell
Mass density = 4.92 g/cm3

abc: 6.858 6.858 5.477
angles: 51.24 51.24 90.00
Each line ends with the local moment (μB).
Positions (direct):
Tc1 0.000 0.000 0.000  1.02
Tc2 0.750 0.250 0.500  1.02
Li1 0.875 0.859 0.750  -0.01
Li2 0.141 0.625 0.250  -0.01
Li3 0.375 0.391 0.750  -0.01
Li4 0.609 0.125 0.250  -0.01
Zn1 0.250 0.750 0.500  0.00
Zn2 0.500 0.500 0.000  0.00

[8]
Computed, not measured: a geometry-optimized Na2Sr6Ir structure at the PBE-GGA level of DFT.

Calculated values
ΔH_f (0 K) = -0.11 eV/atom
Uncorrected energy = -22.54 eV/cell
Mass density = 3.01 g/cm3

abc: 8.415 8.415 8.417
angles: 59.99 59.99 60.01
Positions (direct):
Sr1 0.256 0.256 0.744
Sr2 0.744 0.256 0.744
Sr3 0.744 0.744 0.256
Sr4 0.256 0.744 0.256
Sr5 0.256 0.744 0.744
Sr6 0.744 0.256 0.256
Na1 0.750 0.750 0.750
Na2 0.250 0.250 0.250
Ir1 0.500 0.500 0.500

[9]
Computed, not measured: a geometry-optimized SrMgRh2 structure at the PBE-GGA level of DFT.

Calculated values
ΔH_f (0 K) = 0.09 eV/atom
Uncorrected energy = -35.22 eV/cell
Mass density = 5.24 g/cm3

abc: 4.767 4.767 9.485
angles: 75.45 75.45 90.00
Each line ends with the local moment (μB).
Positions (direct):
Rh1 0.461 0.125 0.250  0.20
Rh2 0.875 0.711 0.750  0.12
Rh3 0.375 0.539 0.750  0.12
Rh4 0.289 0.625 0.250  0.20
Mg1 0.250 0.750 0.500  0.00
Mg2 0.500 0.500 0.000  0.00
Sr1 0.750 0.250 0.500  0.00
Sr2 0.000 0.000 0.000  0.00

[10]
Computed, not measured: a geometry-optimized TaCd2Cl structure at the PBE-GGA level of DFT.

Calculated values
Uncorrected energy = -15.30 eV/cell
Mass density = 8.45 g/cm3
Raw formation energy = 0.06 eV per atom

abc: 5.841 5.841 5.453
angles: 71.25 71.25 29.62
Positions (direct):
Ta1 0.217 0.217 0.206
Cd1 0.959 0.959 0.083
Cd2 0.765 0.765 0.710
Cl1 0.559 0.559 0.502

[11]
Computed, not measured: a geometry-optimized SrAcGaGe structure at the PBE-GGA level of DFT.

Calculated values
ΔH_f (0 K) = -0.45 eV/atom
Uncorrected energy = -15.22 eV/cell
Mass density = 6.44 g/cm3

abc: 5.502 5.502 5.502
angles: 60.00 60.00 60.00
Positions (direct):
Ga1 0.750 0.750 0.750
Sr1 0.500 0.500 0.500
Ac1 0.000 0.000 0.000
Ge1 0.250 0.250 0.250

[12]
Computed, not measured: a geometry-optimized Tb2PmTl3Te6 structure at the PBE-GGA level of DFT.

Calculated values
Uncorrected energy = -52.73 eV/cell
Mass density = 7.13 g/cm3
Raw formation energy = -1.06 eV per atom

abc: 7.780 7.780 8.586
angles: 98.69 98.69 119.99
Positions (direct):
Tb1 0.667 0.333 0.000
Tb2 0.333 0.667 0.000
Te1 0.928 0.590 0.784
Te2 0.410 0.072 0.216
Te3 0.733 0.733 0.215
Te4 0.072 0.410 0.216
Te5 0.267 0.267 0.785
Te6 0.590 0.928 0.784
Tl1 0.500 0.500 0.500
Tl2 0.835 0.165 0.500
Tl3 0.165 0.835 0.500
Pm1 0.000 0.000 0.000

Question: Among the records above, which one has the lowest mass density?
Answer: Na2Sr6Ir